Here is crystalline LiCoTcB at its relaxed geometry from the Open Quantum Materials Database. Energies are from PBE-GGA.

Results
Crystal system   cubic
Total moment   0.329 μB per atom
Energy above the most stable polymorph in this dataset   0 meV per atom
V   9.836 Å³/atom

abc: 5.3989 5.3989 5.3989
angles: 90.00 90.00 90.00
Closest atoms and distances in Å follow each position.
Positions (direct):
Li  0.0000  0.0000  0.0000  4 Tc 2.34, 4 Co 2.34
Li  0.0000  0.5000  0.5000  4 Tc 2.34, 4 Co 2.34
Li  0.5000  0.0000  0.5000  4 Tc 2.34, 4 Co 2.34
Li  0.5000  0.5000  0.0000  4 Tc 2.34, 4 Co 2.34
Co  0.2500  0.2500  0.7500  4 Li 2.34, 4 B 2.34
Co  0.2500  0.7500  0.2500  4 Li 2.34, 4 B 2.34
Co  0.7500  0.2500  0.2500  4 Li 2.34, 4 B 2.34
Co  0.7500  0.7500  0.7500  4 Li 2.34, 4 B 2.34
Tc  0.2500  0.2500  0.2500  4 Li 2.34, 4 B 2.34
Tc  0.2500  0.7500  0.7500  4 Li 2.34, 4 B 2.34
Tc  0.7500  0.2500  0.7500  4 Li 2.34, 4 B 2.34
Tc  0.7500  0.7500  0.2500  4 Li 2.34, 4 B 2.34
B  0.0000  0.0000  0.5000  4 Co 2.34, 4 Tc 2.34
B  0.0000  0.5000  0.0000  4 Co 2.34, 4 Tc 2.34
B  0.5000  0.0000  0.0000  4 Co 2.34, 4 Tc 2.34
B  0.5000  0.5000  0.5000  4 Co 2.34, 4 Tc 2.34



Here is crystalline LiCoTcB at its relaxed geometry from the Open Quantum Materials Database. Energies are from PBE-GGA.

Results
Crystal system   cubic
Total moment   0.481 μB per atom
Energy above the most stable polymorph in this dataset   140 meV per atom
V   10.257 Å³/atom

abc: 5.4749 5.4749 5.4749
angles: 90.00 90.00 90.00
Closest atoms and distances in Å follow each position.
Positions (direct):
Li  0.0000  0.0000  0.0000  4 Tc 2.37, 4 B 2.37
Li  0.0000  0.5000  0.5000  4 Tc 2.37, 4 B 2.37
Li  0.5000  0.0000  0.5000  4 Tc 2.37, 4 B 2.37
Li  0.5000  0.5000  0.0000  4 Tc 2.37, 4 B 2.37
Co  0.0000  0.0000  0.5000  4 Tc 2.37, 4 B 2.37
Co  0.0000  0.5000  0.0000  4 Tc 2.37, 4 B 2.37
Co  0.5000  0.0000  0.0000  4 Tc 2.37, 4 B 2.37
Co  0.5000  0.5000  0.5000  4 Tc 2.37, 4 B 2.37
Tc  0.2500  0.2500  0.7500  4 Li 2.37, 4 Co 2.37
Tc  0.2500  0.7500  0.2500  4 Li 2.37, 4 Co 2.37
Tc  0.7500  0.2500  0.2500  4 Li 2.37, 4 Co 2.37
Tc  0.7500  0.7500  0.7500  4 Co 2.37, 4 Li 2.37
B  0.2500  0.2500  0.2500  4 Li 2.37, 4 Co 2.37
B  0.2500  0.7500  0.7500  4 Li 2.37, 4 Co 2.37
B  0.7500  0.2500  0.7500  4 Li 2.37, 4 Co 2.37
B  0.7500  0.7500  0.2500  4 Li 2.37, 4 Co 2.37



Here is crystalline LiCoBW at its relaxed geometry from the Open Quantum Materials Database. Energies are from PBE-GGA.

Results
Crystal system   cubic
Total moment   0.069 μB per atom
Energy above the most stable polymorph in this dataset   18 meV per atom
V   10.562 Å³/atom

abc: 5.5288 5.5288 5.5288
angles: 90.00 90.00 90.00
Closest atoms and distances in Å follow each position.
Positions (direct):
Li  0.0000  0.0000  0.0000  4 W 2.39, 4 B 2.39
Li  0.0000  0.5000  0.5000  4 W 2.39, 4 B 2.39
Li  0.5000  0.0000  0.5000  4 W 2.39, 4 B 2.39
Li  0.5000  0.5000  0.0000  4 W 2.39, 4 B 2.39
Co  0.0000  0.0000  0.5000  4 W 2.39, 4 B 2.39
Co  0.0000  0.5000  0.0000  4 W 2.39, 4 B 2.39
Co  0.5000  0.0000  0.0000  4 W 2.39, 4 B 2.39
Co  0.5000  0.5000  0.5000  4 W 2.39, 4 B 2.39
B  0.2500  0.2500  0.2500  4 Li 2.39, 4 Co 2.39
B  0.2500  0.7500  0.7500  4 Li 2.39, 4 Co 2.39
B  0.7500  0.2500  0.7500  4 Li 2.39, 4 Co 2.39
B  0.7500  0.7500  0.2500  4 Li 2.39, 4 Co 2.39
W  0.2500  0.2500  0.7500  4 Li 2.39, 4 Co 2.39
W  0.2500  0.7500  0.2500  4 Li 2.39, 4 Co 2.39
W  0.7500  0.2500  0.2500  4 Li 2.39, 4 Co 2.39
W  0.7500  0.7500  0.7500  4 Co 2.39, 4 Li 2.39



Here is crystalline LiCoBW at its relaxed geometry from the Open Quantum Materials Database. Energies are from PBE-GGA.

Results
Crystal system   cubic
Total moment   0.360 μB per atom
Energy above the most stable polymorph in this dataset   0 meV per atom
V   10.210 Å³/atom

abc: 5.4666 5.4666 5.4666
angles: 90.00 90.00 90.00
Closest atoms and distances in Å follow each position.
Positions (direct):
Li  0.0000  0.0000  0.0000  4 W 2.37, 4 Co 2.37
Li  0.0000  0.5000  0.5000  4 W 2.37, 4 Co 2.37
Li  0.5000  0.0000  0.5000  4 W 2.37, 4 Co 2.37
Li  0.5000  0.5000  0.0000  4 W 2.37, 4 Co 2.37
Co  0.2500  0.2500  0.7500  4 Li 2.37, 4 B 2.37
Co  0.2500  0.7500  0.2500  4 Li 2.37, 4 B 2.37
Co  0.7500  0.2500  0.2500  4 Li 2.37, 4 B 2.37
Co  0.7500  0.7500  0.7500  4 Li 2.37, 4 B 2.37
B  0.0000  0.0000  0.5000  4 W 2.37, 4 Co 2.37
B  0.0000  0.5000  0.0000  4 W 2.37, 4 Co 2.37
B  0.5000  0.0000  0.0000  4 W 2.37, 4 Co 2.37
B  0.5000  0.5000  0.5000  4 W 2.37, 4 Co 2.37
W  0.2500  0.2500  0.2500  4 Li 2.37, 4 B 2.37
W  0.2500  0.7500  0.7500  4 Li 2.37, 4 B 2.37
W  0.7500  0.2500  0.7500  4 Li 2.37, 4 B 2.37
W  0.7500  0.7500  0.2500  4 Li 2.37, 4 B 2.37



Here is crystalline LiYCoB at its relaxed geometry from the Open Quantum Materials Database. Energies are from PBE-GGA.

Results
Crystal system   cubic
Total moment   0.000 μB per atom
Energy above the most stable polymorph in this dataset   120 meV per atom
V   13.453 Å³/atom

abc: 5.9930 5.9930 5.9930
angles: 90.00 90.00 90.00
Closest atoms and distances in Å follow each position.
Positions (direct):
Li  0.0000  0.0000  0.0000  4 B 2.60, 4 Y 2.60
Li  0.0000  0.5000  0.5000  4 B 2.60, 4 Y 2.60
Li  0.5000  0.0000  0.5000  4 B 2.60, 4 Y 2.60
Li  0.5000  0.5000  0.0000  4 B 2.60, 4 Y 2.60
Y  0.2500  0.2500  0.7500  4 Li 2.60, 4 Co 2.60
Y  0.2500  0.7500  0.2500  4 Li 2.60, 4 Co 2.60
Y  0.7500  0.2500  0.2500  4 Li 2.60, 4 Co 2.60
Y  0.7500  0.7500  0.7500  4 Li 2.60, 4 Co 2.60
Co  0.0000  0.0000  0.5000  4 B 2.60, 4 Y 2.60
Co  0.0000  0.5000  0.0000  4 B 2.60, 4 Y 2.60
Co  0.5000  0.0000  0.0000  4 B 2.60, 4 Y 2.60
Co  0.5000  0.5000  0.5000  4 B 2.60, 4 Y 2.60
B  0.2500  0.2500  0.2500  4 Li 2.60, 4 Co 2.60
B  0.2500  0.7500  0.7500  4 Li 2.60, 4 Co 2.60
B  0.7500  0.2500  0.7500  4 Li 2.60, 4 Co 2.60
B  0.7500  0.7500  0.2500  4 Li 2.60, 4 Co 2.60



Here is crystalline LiYCoB at its relaxed geometry from the Open Quantum Materials Database. Energies are from PBE-GGA.

Results
Crystal system   cubic
Total moment   0.372 μB per atom
Energy above the most stable polymorph in this dataset   0 meV per atom
V   13.337 Å³/atom

abc: 5.9758 5.9758 5.9758
angles: 90.00 90.00 90.00
Closest atoms and distances in Å follow each position.
Positions (direct):
Li  0.0000  0.0000  0.0000  4 Co 2.59, 4 Y 2.59
Li  0.0000  0.5000  0.5000  4 Co 2.59, 4 Y 2.59
Li  0.5000  0.0000  0.5000  4 Co 2.59, 4 Y 2.59
Li  0.5000  0.5000  0.0000  4 Co 2.59, 4 Y 2.59
Y  0.2500  0.2500  0.2500  4 Li 2.59, 4 B 2.59
Y  0.2500  0.7500  0.7500  4 Li 2.59, 4 B 2.59
Y  0.7500  0.2500  0.7500  4 Li 2.59, 4 B 2.59
Y  0.7500  0.7500  0.2500  4 Li 2.59, 4 B 2.59
Co  0.2500  0.2500  0.7500  4 Li 2.59, 4 B 2.59
Co  0.2500  0.7500  0.2500  4 Li 2.59, 4 B 2.59
Co  0.7500  0.2500  0.2500  4 Li 2.59, 4 B 2.59
Co  0.7500  0.7500  0.7500  4 Li 2.59, 4 B 2.59
B  0.0000  0.0000  0.5000  4 Y 2.59, 4 Co 2.59
B  0.0000  0.5000  0.0000  4 Co 2.59, 4 Y 2.59
B  0.5000  0.0000  0.0000  4 Co 2.59, 4 Y 2.59
B  0.5000  0.5000  0.5000  4 Co 2.59, 4 Y 2.59



Here is crystalline LiZnCoB at its relaxed geometry from the Open Quantum Materials Database. Energies are from PBE-GGA.

Results
Crystal system   cubic
Total moment   0.013 μB per atom
Energy above the most stable polymorph in this dataset   0 meV per atom
V   9.544 Å³/atom

abc: 5.3450 5.3450 5.3450
angles: 90.00 90.00 90.00
Closest atoms and distances in Å follow each position.
Positions (direct):
Li  0.0000  0.0000  0.0000  4 Co 2.31, 4 Zn 2.31
Li  0.0000  0.5000  0.5000  4 Co 2.31, 4 Zn 2.31
Li  0.5000  0.0000  0.5000  4 Co 2.31, 4 Zn 2.31
Li  0.5000  0.5000  0.0000  4 Co 2.31, 4 Zn 2.31
Zn  0.2500  0.2500  0.2500  4 Li 2.31, 4 B 2.31
Zn  0.2500  0.7500  0.7500  4 Li 2.31, 4 B 2.31
Zn  0.7500  0.2500  0.7500  4 Li 2.31, 4 B 2.31
Zn  0.7500  0.7500  0.2500  4 Li 2.31, 4 B 2.31
Co  0.2500  0.2500  0.7500  4 B 2.31, 4 Li 2.31
Co  0.2500  0.7500  0.2500  4 B 2.31, 4 Li 2.31
Co  0.7500  0.2500  0.2500  4 B 2.31, 4 Li 2.31
Co  0.7500  0.7500  0.7500  4 B 2.31, 4 Li 2.31
B  0.0000  0.0000  0.5000  4 Co 2.31, 4 Zn 2.31
B  0.0000  0.5000  0.0000  4 Co 2.31, 4 Zn 2.31
B  0.5000  0.0000  0.0000  4 Co 2.31, 4 Zn 2.31
B  0.5000  0.5000  0.5000  4 Co 2.31, 4 Zn 2.31



Here is crystalline LiZnCoB at its relaxed geometry from the Open Quantum Materials Database. Energies are from PBE-GGA.

Results
Crystal system   cubic
Total moment   0.000 μB per atom
Energy above the most stable polymorph in this dataset   21 meV per atom
V   9.926 Å³/atom

abc: 5.4154 5.4154 5.4154
angles: 90.00 90.00 90.00
Closest atoms and distances in Å follow each position.
Positions (direct):
Li  0.0000  0.0000  0.0000  4 B 2.34, 4 Zn 2.34
Li  0.0000  0.5000  0.5000  4 B 2.34, 4 Zn 2.34
Li  0.5000  0.0000  0.5000  4 B 2.34, 4 Zn 2.34
Li  0.5000  0.5000  0.0000  4 B 2.34, 4 Zn 2.34
Zn  0.2500  0.2500  0.2500  4 Li 2.34, 4 Co 2.34
Zn  0.2500  0.7500  0.7500  4 Li 2.34, 4 Co 2.34
Zn  0.7500  0.2500  0.7500  4 Li 2.34, 4 Co 2.34
Zn  0.7500  0.7500  0.2500  4 Li 2.34, 4 Co 2.34
Co  0.0000  0.0000  0.5000  4 B 2.34, 4 Zn 2.34
Co  0.0000  0.5000  0.0000  4 B 2.34, 4 Zn 2.34
Co  0.5000  0.0000  0.0000  4 B 2.34, 4 Zn 2.34
Co  0.5000  0.5000  0.5000  4 B 2.34, 4 Zn 2.34
B  0.2500  0.2500  0.7500  4 Li 2.34, 4 Co 2.34
B  0.2500  0.7500  0.2500  4 Li 2.34, 4 Co 2.34
B  0.7500  0.2500  0.2500  4 Li 2.34, 4 Co 2.34
B  0.7500  0.7500  0.7500  4 Li 2.34, 4 Co 2.34



Here is crystalline LuCoB at its relaxed geometry from the Open Quantum Materials Database. Energies are from PBE-GGA.

Results
Crystal system   cubic
Total moment   0.172 μB per atom
Energy above the most stable polymorph in this dataset   1506 meV per atom
V   17.049 Å³/atom

abc: 5.8924 5.8924 5.8924
angles: 90.00 90.00 90.00
Closest atoms and distances in Å follow each position.
Positions (direct):
Lu  0.0000  0.0000  0.0000  4 Co 2.55, 4 B 2.55
Lu  0.0000  0.5000  0.5000  4 Co 2.55, 4 B 2.55
Lu  0.5000  0.0000  0.5000  4 Co 2.55, 4 B 2.55
Lu  0.5000  0.5000  0.0000  4 Co 2.55, 4 B 2.55
Co  0.2500  0.2500  0.2500  4 Lu 2.55
Co  0.2500  0.7500  0.7500  4 Lu 2.55
Co  0.7500  0.2500  0.7500  4 Lu 2.55
Co  0.7500  0.7500  0.2500  4 Lu 2.55
B  0.2500  0.2500  0.7500  4 Lu 2.55
B  0.2500  0.7500  0.2500  4 Lu 2.55
B  0.7500  0.2500  0.2500  4 Lu 2.55
B  0.7500  0.7500  0.7500  4 Lu 2.55



Here is crystalline LuCo2B at its relaxed geometry from the Open Quantum Materials Database. Energies are from PBE-GGA.

Results
Crystal system   cubic
Total moment   0.110 μB per atom
VASP energy   -5.962 eV per atom
V   12.747 Å³/atom

abc: 5.8863 5.8863 5.8863
angles: 90.00 90.00 90.00
Closest atoms and distances in Å follow each position.
Positions (direct):
Lu  0.0000  0.0000  0.0000  4 Co 2.55, 4 B 2.55
Lu  0.0000  0.5000  0.5000  4 Co 2.55, 4 B 2.55
Lu  0.5000  0.0000  0.5000  4 Co 2.55, 4 B 2.55
Lu  0.5000  0.5000  0.0000  4 Co 2.55, 4 B 2.55
Co  0.0000  0.0000  0.5000  4 Co 2.55, 4 B 2.55
Co  0.0000  0.5000  0.0000  4 Co 2.55, 4 B 2.55
Co  0.2500  0.2500  0.2500  4 Co 2.55, 4 Lu 2.55
Co  0.2500  0.7500  0.7500  4 Co 2.55, 4 Lu 2.55
Co  0.5000  0.0000  0.0000  4 Co 2.55, 4 B 2.55
Co  0.5000  0.5000  0.5000  4 Co 2.55, 4 B 2.55
Co  0.7500  0.2500  0.7500  4 Co 2.55, 4 Lu 2.55
Co  0.7500  0.7500  0.2500  4 Co 2.55, 4 Lu 2.55
B  0.2500  0.2500  0.7500  4 Co 2.55, 4 Lu 2.55
B  0.2500  0.7500  0.2500  4 Co 2.55, 4 Lu 2.55
B  0.7500  0.2500  0.2500  4 Co 2.55, 4 Lu 2.55
B  0.7500  0.7500  0.7500  4 Co 2.55, 4 Lu 2.55